# Pr6SnSe5

An optimized crystal structure of Pr6SnSe5 (PBE-GGA, Alexandria).

The structure in CIF format:
```
data_Pr6SnSe5
_chemical_formula_sum 'Pr12 Sn2 Se10'
_cell_length_a 7.480
_cell_length_b 12.956
_cell_length_c 7.506
_cell_angle_alpha 90.00
_cell_angle_beta 109.38
_cell_angle_gamma 90.00
_space_group_name_H-M_alt 'C 1 2/m 1'
_space_group_IT_number 12
loop_
_space_group_symop_operation_xyz
'x,y,z'
'-x,-y,-z'
'-x,y,-z'
'x,-y,z'
'x+1/2,y+1/2,z'
'-x+1/2,-y+1/2,-z'
'-x+1/2,y+1/2,-z'
'x+1/2,-y+1/2,z'
loop_
_atom_site_label
_atom_site_type_symbol
_atom_site_fract_x
_atom_site_fract_y
_atom_site_fract_z
Pr1 Pr 0.245 0.000 0.251
Pr2 Pr 0.246 0.169 0.745
Sn1 Sn 0.000 0.500 0.000
Se1 Se 0.000 0.000 0.500
Se2 Se 0.000 0.168 0.000
Se3 Se 0.000 0.337 0.500
```

## Properties
As for the uncorrected formation energy: -1.674 eV per atom. The calculation puts the calculated volume at 28.594 A^3/atom.